Material: BaCd2Fe
Method: DFT, PBE-GGA
State: relaxed

Values from the calculation:
* ρ: 6.538 g/cm3
* final energy: -2.51 eV per atom
* formation enthalpy at 0 K: 0.55 eV per atom

Cell lengths 5.7190, 6.4456, 3.3170 Å; angles 78.94, 81.51, 113.93 degrees
Last column: magnetic moment on the atom in μB.
Fractional positions:
Fe: 0.0000 0.5000 0.5000  2.95
Cd: 0.0000 0.0000 0.0000  -0.02
Cd: 0.5000 0.0000 0.5000  -0.02
Ba: 0.5000 0.5000 0.0000  -0.13